{"formula": "GdY2Sn3Pb4", "functional": "PBE-GGA", "state": "optimized geometry", "cell": [[11.539, 7.002, 1.760], [-13.252, -3.098, -0.213], [0.292, -1.541, 4.215]], "species": ["Gd", "Pb", "Pb", "Pb", "Pb", "Sn", "Sn", "Sn", "Y", "Y"], "fractional_positions": [[0.500, 0.500, 0.000], [0.709, 0.291, 0.000], [0.291, 0.709, 0.000], [0.596, 0.404, 0.500], [0.404, 0.596, 0.500], [0.904, 0.096, 0.000], [0.096, 0.904, 0.000], [0.000, 0.000, 0.500], [0.811, 0.189, 0.500], [0.189, 0.811, 0.500]], "sg": "Cmmm, No. 65", "de_polymorph_mev_per_atom": 18, "rho_g_cm3": 9.219, "energy_ev_per_atom": -4.87}